The following is a PBE calculation of an optimized crystal structure of CaSm2Co, from Alexandria.

Summary:
E above lowest polymorph, eV/atom: 0.000
Formation energy from the elements, eV/atom: -0.0613
Crystal system: monoclinic

Unit cell a=13.671 b=3.736 c=9.206 alpha=90.00 beta=91.49 gamma=90.00
Space group C2/m (No. 12)
Asymmetric unit:
Ca 0.130 0.000 0.472 (multiplicity 4)
Sm 0.030 0.500 0.824 (multiplicity 4)
Sm 0.233 0.500 0.154 (multiplicity 4)
Co 0.101 0.000 0.030 (multiplicity 4)

***

The following is a PBE calculation of an optimized crystal structure of TiFeS2N, from Alexandria.

Summary:
E above lowest polymorph, eV/atom: 0.173
ΔE_f (raw), meV/atom: 184
Crystal system: tetragonal

Unit cell a=4.790 b=4.790 c=3.756 alpha=90.00 beta=90.00 gamma=90.00
Space group P4/mmm (No. 123)
Asymmetric unit:
Ti 0.000 0.000 0.000 (multiplicity 1)
Fe 0.500 0.500 0.500 (multiplicity 1)
S 0.000 0.500 0.000 (multiplicity 2)
N 0.000 0.000 0.500 (multiplicity 1)

***

The following is a PBE calculation of an optimized crystal structure of NiAs2W, from Alexandria.

Summary:
E above lowest polymorph, eV/atom: 0.053
Formation energy from the elements, eV/atom: 0.0910
Crystal system: monoclinic

Unit cell a=8.839 b=3.276 c=4.285 alpha=90.00 beta=103.40 gamma=90.00
Space group Cm (No. 8)
Asymmetric unit:
Ni 0.000 0.000 0.000 (multiplicity 2)
As 0.242 0.500 0.109 (multiplicity 2)
As 0.495 0.000 0.520 (multiplicity 2)
W 0.219 0.000 0.607 (multiplicity 2)

***

The following is a PBE calculation of an optimized crystal structure of PmPrAsI, from Alexandria.

Summary:
ΔE_f (raw), meV/atom: -1310
Crystal system: trigonal

Unit cell a=4.2553 b=4.2553 c=23.4207 alpha=90.00 beta=90.00 gamma=120.00
Space group R3m (No. 160, hexagonal axes)
Asymmetric unit:
Pm 0.0000 0.0000 0.0000 (multiplicity 3)
Pr 0.0000 0.0000 0.1992 (multiplicity 3)
As 0.0000 0.0000 0.6027 (multiplicity 3)
I 0.0000 0.0000 0.4309 (multiplicity 3)

***

The following is a PBE calculation of an optimized crystal structure of Sm2YCd3, from Alexandria.

Summary:
Formation energy from the elements, eV/atom: -0.3277
Crystal system: trigonal

Unit cell a=5.3633 b=5.3633 c=6.5784 alpha=90.00 beta=90.00 gamma=120.00
Space group P-3m1 (No. 164)
Asymmetric unit:
Sm 0.3333 0.6667 0.1705 (multiplicity 2)
Y 0.0000 0.0000 0.5000 (multiplicity 1)
Cd 0.0000 0.0000 0.0000 (multiplicity 1)
Cd 0.3333 0.6667 0.6657 (multiplicity 2)

***

The following is a PBE calculation of an optimized crystal structure of BaSi2Ag, from Alexandria.

Summary:
ΔE_f (raw), meV/atom: -48
Crystal system: orthorhombic

Unit cell a=4.534 b=6.719 c=7.455 alpha=90.00 beta=90.00 gamma=90.00
Space group Immm (No. 71)
Asymmetric unit:
Ba 0.000 0.000 0.000 (multiplicity 2)
Si 0.000 0.500 0.157 (multiplicity 4)
Ag 0.000 0.000 0.500 (multiplicity 2)

***

The following is a PBE calculation of an optimized crystal structure of ZnSn4O8, from Alexandria.

Summary:
E above lowest polymorph, eV/atom: 0.092
ΔE_f (raw), meV/atom: -1342
Crystal system: trigonal

Unit cell a=6.6328 b=6.6328 c=15.2912 alpha=90.00 beta=90.00 gamma=120.00
Space group R-3m (No. 166, hexagonal axes)
Asymmetric unit:
Zn 0.0000 0.0000 0.0000 (multiplicity 3)
Sn 0.0000 0.0000 0.5000 (multiplicity 3)
Sn 0.0000 0.5000 0.5000 (multiplicity 9)
O 0.0000 0.0000 0.2353 (multiplicity 6)
O 0.0427 0.5213 0.7595 (multiplicity 18)

***

The following is a PBE calculation of an optimized crystal structure of KBaMo2, from Alexandria.

Summary:
E above lowest polymorph, eV/atom: 0.809
Formation energy from the elements, eV/atom: 1.5830
Crystal system: tetragonal

Unit cell a=2.908 b=2.908 c=11.780 alpha=90.00 beta=90.00 gamma=90.00
Space group P4/mmm (No. 123)
Asymmetric unit:
K 0.000 0.000 0.000 (multiplicity 1)
Ba 0.000 0.000 0.500 (multiplicity 1)
Mo 0.500 0.500 0.259 (multiplicity 2)

***

The following is a PBE calculation of an optimized crystal structure of DyAl2Hg, from Alexandria.

Summary:
E above lowest polymorph, eV/atom: 0.152
Formation energy from the elements, eV/atom: -0.1878
Crystal system: trigonal

Unit cell a=4.4319 b=4.4319 c=15.5949 alpha=90.00 beta=90.00 gamma=120.00
Space group R-3m (No. 166, hexagonal axes)
Asymmetric unit:
Dy 0.0000 0.0000 0.0000 (multiplicity 3)
Al 0.0000 0.0000 0.2209 (multiplicity 6)
Hg 0.0000 0.0000 0.5000 (multiplicity 3)

***

The following is a PBE calculation of an optimized crystal structure of GeS3F, from Alexandria.

Summary:
E above lowest polymorph, eV/atom: 0.111
ΔE_f (raw), meV/atom: 697
Crystal system: cubic

Unit cell a=4.431 b=4.431 c=4.431 alpha=90.00 beta=90.00 gamma=90.00
Space group Pm-3m (No. 221)
Asymmetric unit:
Ge 0.000 0.000 0.000 (multiplicity 1)
S 0.000 0.500 0.500 (multiplicity 3)
F 0.500 0.500 0.500 (multiplicity 1)

***

The following is a PBE calculation of an optimized crystal structure of PaCrSn2, from Alexandria.

Summary:
E above lowest polymorph, eV/atom: 0.000
Formation energy from the elements, eV/atom: 0.0431
Crystal system: tetragonal

Unit cell a=4.581 b=4.581 c=4.401 alpha=90.00 beta=90.00 gamma=90.00
Space group P4/mmm (No. 123)
Asymmetric unit:
Pa 0.000 0.000 0.000 (multiplicity 1)
Cr 0.500 0.500 0.000 (multiplicity 1)
Sn 0.000 0.500 0.500 (multiplicity 2)

***

The following is a PBE calculation of an optimized crystal structure of Rb3Mg2PdF9, from Alexandria.

Summary:
ΔE_f (raw), meV/atom: -2775
Crystal system: trigonal

Unit cell a=5.9414 b=5.9414 c=7.3116 alpha=90.00 beta=90.00 gamma=120.00
Space group P-3m1 (No. 164)
Asymmetric unit:
Rb 0.0000 0.0000 0.0000 (multiplicity 1)
Rb 0.3333 0.6667 0.6608 (multiplicity 2)
Mg 0.3333 0.6667 0.1540 (multiplicity 2)
Pd 0.0000 0.0000 0.5000 (multiplicity 1)
F 0.0000 0.5000 0.0000 (multiplicity 3)
F 0.1740 0.3480 0.3207 (multiplicity 6)